Record 1
AlInCl2 | the Alexandria database | PBE | optimized geometry; energy above the lowest structure with this stoichiometry = 204 meV/atom; ΔE_f (raw) = -0.518 eV/atom
1.0
-1.6805 2.9511 4.8575
1.6805 -2.9511 4.8575
1.6805 2.9511 -4.8575
Al In Cl
1 1 2
direct
0.0000 0.0000 0.0000 Al
0.5000 0.5000 0.0000 In
0.1912 0.6912 0.5000 Cl
0.8088 0.3088 0.5000 Cl


Record 2
Al3InCl | the Alexandria database | PBE | optimized geometry; energy above the lowest structure with this stoichiometry = 0 meV/atom; ΔE_f (raw) = 0.541 eV/atom
1.0
5.0224 0.0000 0.0000
0.0000 5.0224 0.0000
0.0000 0.0000 5.0224
Al In Cl
3 1 1
direct
0.0000 0.0000 0.5000 Al
0.0000 0.5000 0.0000 Al
0.5000 0.0000 0.0000 Al
0.5000 0.5000 0.5000 In
0.0000 0.0000 0.0000 Cl


Record 3
Al3InCl | the Alexandria database | PBE | optimized geometry; energy above the lowest structure with this stoichiometry = 28 meV/atom; ΔE_f (raw) = 0.569 eV/atom
1.0
5.3781 0.0000 0.0000
0.0000 5.3781 0.0000
0.0000 0.0000 5.3781
Al In Cl
3 1 1
direct
0.0000 0.0000 0.5000 Al
0.0000 0.5000 0.0000 Al
0.5000 0.0000 0.0000 Al
0.0000 0.0000 0.0000 In
0.5000 0.5000 0.5000 Cl


Record 4
AlIn2Cl6 | the Alexandria database | PBE | optimized geometry; energy above the lowest structure with this stoichiometry = 0 meV/atom; ΔE_f (raw) = -1.105 eV/atom
1.0
5.7325 -4.8855 0.0000
5.7325 4.8855 0.0000
-3.1759 0.0000 10.5338
Al In Cl
2 4 12
direct
0.0350 0.9650 0.7500 Al
0.9650 0.0350 0.2500 Al
0.3526 0.3579 0.8209 In
0.3579 0.3526 0.3209 In
0.6421 0.6474 0.6791 In
0.6474 0.6421 0.1791 In
0.0071 0.8173 0.3546 Cl
0.0293 0.6829 0.6477 Cl
0.1827 0.9929 0.1454 Cl
0.3171 0.9707 0.8523 Cl
0.3270 0.4318 0.0774 Cl
0.4318 0.3270 0.5774 Cl
0.5682 0.6730 0.4226 Cl
0.6730 0.5682 0.9226 Cl
0.6829 0.0293 0.1477 Cl
0.8173 0.0071 0.8546 Cl
0.9707 0.3171 0.3523 Cl
0.9929 0.1827 0.6454 Cl